First-principles (GGA-PBE) data for a geometry-optimized Pm2HoNi9 structure, as listed in the Alexandria database.

For the total magnetic moment, the calculation gives 3.10 μB/cell. The electronic total energy is -5.87 eV/atom. The formation energy is -0.36 eV/atom.

It has space group R-3m (No. 166, hexagonal axes), with a = 4.9840 Å, b = 4.9840 Å, c = 24.7156 Å, α = 90.00°, β = 90.00° and γ = 120.00°. The inequivalent atoms are Pm at (0.0000, 0.0000, 0.1380), Ho at (0.0000, 0.0000, 0.0000), Ni at (0.0000, 0.0000, 0.3329), Ni at (0.0000, 0.0000, 0.5000) and Ni at (0.0005, 0.5002, 0.0802).